Here is a relaxed structure of Pr3Dy6YTm2 from the Alexandria database. Energies are from PBE-GGA.

## Properties
Space group ... C2/m (12)
Energy ... -4.757 eV/atom
E_form ... 2 kJ per mole of atoms

Cell and atoms, written as POSCAR:
```
Pr3Dy6YTm2
1.0
3.1047 -5.3759 0.0000
3.1047 5.3759 0.0000
-2.0666 0.0000 11.6671
Pr Dy Y Tm
3 6 1 2
Cartesian
0.0000 0.0000 0.0000
3.1047 1.7928 0.0000
3.1047 -1.7928 0.0000
1.0302 1.7977 2.9785
-0.0021 0.0000 8.6884
1.0302 -1.7977 2.9785
3.1127 1.7977 8.6887
4.1450 0.0000 2.9787
3.1127 -1.7977 8.6887
2.0714 0.0000 5.8336
2.0714 3.5836 5.8336
2.0714 -3.5836 5.8336
```



Here is a relaxed structure of MoWI2N from the Alexandria database. Energies are from PBE-GGA.

## Properties
Space group ... P4/mmm (123)
Energy relative to the elements, uncorrected ... 129.63 kJ per mole of atoms
Energy above the lowest structure with this stoichiometry ... 127.5 kJ/mol of formula units
Energy ... -5.698 eV/atom

Cell and atoms, written as POSCAR:
```
MoWI2N
1.0
5.5592 0.0000 0.0000
0.0000 5.5592 0.0000
0.0000 0.0000 3.7882
Mo W I N
1 1 2 1
Cartesian
0.0000 0.0000 0.0000
2.7796 2.7796 1.8941
0.0000 2.7796 0.0000
2.7796 0.0000 0.0000
0.0000 0.0000 1.8941
```



Repeat the first record exactly.
Here is a relaxed structure of Pr3Dy6YTm2 from the Alexandria database. Energies are from PBE-GGA.

## Properties
Space group ... C2/m (12)
Energy ... -4.757 eV/atom
E_form ... 2 kJ per mole of atoms

Cell and atoms, written as POSCAR:
```
Pr3Dy6YTm2
1.0
3.1047 -5.3759 0.0000
3.1047 5.3759 0.0000
-2.0666 0.0000 11.6671
Pr Dy Y Tm
3 6 1 2
Cartesian
0.0000 0.0000 0.0000
3.1047 1.7928 0.0000
3.1047 -1.7928 0.0000
1.0302 1.7977 2.9785
-0.0021 0.0000 8.6884
1.0302 -1.7977 2.9785
3.1127 1.7977 8.6887
4.1450 0.0000 2.9787
3.1127 -1.7977 8.6887
2.0714 0.0000 5.8336
2.0714 3.5836 5.8336
2.0714 -3.5836 5.8336
```